A plane-wave DFT calculation with PBE was carried out for a relaxed structure of KAsPtCl.

Output
ΔE_f (raw) = -0.67 eV/atom
calculated total energy = -4.0738 eV/atom
relative energy among the computed polymorphs = 0.02 eV/f.u.

a b c (Å): 3.829 3.839 7.844
angles (deg): 78.86 78.93 75.03
Fractional coordinates of all 4 atoms:
Cl  0.319  0.881  0.628
K  0.819  0.380  0.848
Pt  0.017  0.580  0.231
As  0.396  0.960  0.269